Below is Sm6In3Ag after structural relaxation, with properties calculated at the GGA-PBE level.

Lattice parameters (Å, degrees): 9.338 12.055 5.347 90.00 90.00 90.00
Atoms (fractional coordinates):
Sm 0.003 0.244 0.000
Sm 0.167 0.089 0.500
Sm 0.169 0.411 0.500
Sm 0.331 0.911 0.000
Sm 0.333 0.589 0.000
Sm 0.497 0.744 0.500
Sm 0.503 0.256 0.500
Sm 0.667 0.411 0.000
Sm 0.669 0.089 0.000
Sm 0.831 0.589 0.500
Sm 0.833 0.911 0.500
Sm 0.997 0.756 0.000
In 0.000 0.500 0.000
In 0.165 0.744 0.500
In 0.335 0.244 0.000
In 0.500 0.000 0.500
In 0.665 0.756 0.000
In 0.835 0.256 0.500
Ag 0.000 0.000 0.000
Ag 0.500 0.500 0.500

Summary:
DOS(E_F) = 11.51 states/eV/f.u.
Raw total energy = -84.05 eV per cell
Calculated formation energy = -265 meV/atom

Below is PmNd2Ho3S6 after structural relaxation, with properties calculated at the GGA-PBE level.

Lattice parameters (Å, degrees): 6.835 6.835 6.962 99.40 99.40 120.17
Atoms (fractional coordinates):
Pm 0.000 0.000 0.000
Nd 0.333 0.667 0.000
Nd 0.667 0.333 0.000
Ho 0.167 0.833 0.500
Ho 0.500 0.500 0.500
Ho 0.833 0.167 0.500
S 0.089 0.421 0.266
S 0.243 0.243 0.733
S 0.421 0.089 0.266
S 0.579 0.911 0.734
S 0.757 0.757 0.267
S 0.911 0.579 0.734

Summary:
DOS(E_F) = 5.34 states/eV/f.u.
Raw total energy = -76.90 eV per cell
ΔE_f (raw) = -2.01 eV/atom

Below is BaMn2IrS8 after structural relaxation, with properties calculated at the GGA-PBE level.

Lattice parameters (Å, degrees): 5.889 5.889 8.547 90.00 90.00 120.00
Atoms (fractional coordinates):
Ba 0.000 0.000 0.000
Mn 0.333 0.667 0.742
Mn 0.667 0.333 0.258
Ir 0.000 0.000 0.500
S 0.003 0.675 0.338
S 0.325 0.328 0.338
S 0.328 0.003 0.662
S 0.333 0.667 0.984
S 0.667 0.333 0.016
S 0.672 0.997 0.338
S 0.675 0.672 0.662
S 0.997 0.325 0.662

Summary:
DOS(E_F) = 3.42 states/eV/f.u.
Raw total energy = -68.65 eV per cell
ΔE_f (raw) = -0.54 eV/atom

Below is LaAgTe2 after structural relaxation, with properties calculated at the GGA-PBE level.

Lattice parameters (Å, degrees): 7.786 7.786 7.786 33.15 33.15 33.15
Atoms (fractional coordinates):
La 0.000 0.000 0.000
Ag 0.832 0.832 0.832
Te 0.243 0.243 0.243
Te 0.425 0.425 0.425

Summary:
Raw total energy = -17.62 eV per cell
ΔE_f (raw) = -0.89 eV/atom

Below is LiHoNi2Ge2 after structural relaxation, with properties calculated at the GGA-PBE level.

Lattice parameters (Å, degrees): 4.082 4.082 6.493 90.00 90.00 120.00
Atoms (fractional coordinates):
Li 0.000 0.000 0.000
Ho 0.000 0.000 0.500
Ni 0.333 0.667 0.844
Ni 0.667 0.333 0.156
Ge 0.333 0.667 0.218
Ge 0.667 0.333 0.782

Summary:
DOS(E_F) = 2.38 states/eV/f.u.
Raw total energy = -30.98 eV per cell
Calculated formation energy = -616 meV/atom

Below is Ca2LaHg9 after structural relaxation, with properties calculated at the GGA-PBE level.

Lattice parameters (Å, degrees): 4.724 4.724 14.129 90.00 90.00 90.00
Atoms (fractional coordinates):
Ca 0.000 0.000 0.162
Ca 0.000 0.000 0.838
La 0.000 0.000 0.500
Hg 0.000 0.500 0.000
Hg 0.000 0.500 0.330
Hg 0.000 0.500 0.670
Hg 0.500 0.000 0.000
Hg 0.500 0.000 0.330
Hg 0.500 0.000 0.670
Hg 0.500 0.500 0.162
Hg 0.500 0.500 0.500
Hg 0.500 0.500 0.838

Summary:
DOS(E_F) = 6.95 states/eV/f.u.
Raw total energy = -16.21 eV per cell
Calculated formation energy = -380 meV/atom